The following is a PBE calculation of an optimized crystal structure of Ca2TeBr, from the Alexandria database.

```
Ca2TeBr
1.0
14.709 0.000 0.000
0.000 4.316 0.000
-0.035 0.000 4.234
Ca Te Br
4 2 2
Direct
0.000 0.000 0.000
0.213 0.000 0.509
0.500 0.500 0.000
0.713 0.500 0.509
0.050 0.500 0.501
0.550 0.000 0.501
0.300 0.500 0.997
0.800 0.000 0.997
```

Computed properties:
The distance to the lowest polymorph of the same formula is 0.062 eV per atom. For the electronic total energy, the calculation gives -28.7 eV for the cell shown. The space group is Cm. The calculation puts the uncorrected formation energy at -1.385 eV/atom.


The following is a PBE calculation of an optimized crystal structure of KRbSnCl6, from the Alexandria database.

```
KRbSnCl6
1.0
7.656 0.000 0.000
-3.828 6.631 0.000
0.000 0.000 12.742
K Rb Sn Cl
2 2 2 12
Direct
0.333 0.667 0.250
0.667 0.333 0.750
0.000 0.000 0.000
0.000 0.000 0.500
0.333 0.667 0.750
0.667 0.333 0.250
0.067 0.405 0.637
0.067 0.662 0.863
0.338 0.405 0.863
0.338 0.933 0.637
0.405 0.067 0.137
0.405 0.338 0.363
0.595 0.662 0.637
0.595 0.933 0.863
0.662 0.067 0.363
0.662 0.595 0.137
0.933 0.338 0.137
0.933 0.595 0.363
```

Computed properties:
For the electronic total energy, the calculation gives -60.2 eV for the cell shown. The space group is P-31c. The calculation puts the uncorrected formation energy at -1.440 eV/atom.


The following is a PBE calculation of an optimized crystal structure of ZnIn2Cl, from the Alexandria database.

```
ZnIn2Cl
1.0
6.308 0.000 0.000
0.000 6.308 0.000
0.000 0.000 13.673
Zn In Cl
4 8 4
Direct
0.000 0.000 0.000
0.000 0.500 0.250
0.500 0.000 0.750
0.500 0.500 0.500
0.216 0.250 0.125
0.250 0.716 0.375
0.250 0.784 0.875
0.284 0.250 0.625
0.716 0.750 0.625
0.750 0.216 0.875
0.750 0.284 0.375
0.784 0.750 0.125
0.000 0.000 0.500
0.000 0.500 0.750
0.500 0.000 0.250
0.500 0.500 0.000
```

Computed properties:
The distance to the lowest polymorph of the same formula is 0.170 eV per atom. For the electronic total energy, the calculation gives -35.8 eV for the cell shown. The space group is I-42d. The calculation puts the uncorrected formation energy at -0.090 eV/atom.


The following is a PBE calculation of an optimized crystal structure of Zr2AgHPt, from the Alexandria database.

```
Zr2AgHPt
1.0
4.415 0.000 0.000
0.000 4.415 0.000
0.000 0.000 4.050
Zr Ag H Pt
2 1 1 1
Direct
0.000 0.500 0.000
0.500 0.000 0.000
0.000 0.000 0.500
0.500 0.500 0.000
0.500 0.500 0.500
```

Computed properties:
The distance to the lowest polymorph of the same formula is 0.018 eV per atom. For the electronic total energy, the calculation gives -31.3 eV for the cell shown. The space group is P4/mmm.


The following is a PBE calculation of an optimized crystal structure of PH6I3, from the Alexandria database.

```
PH6I3
1.0
5.377 0.000 0.000
0.000 6.045 0.000
-0.989 0.000 11.621
P H I
2 12 6
Direct
0.000 0.000 0.000
0.000 0.500 0.500
0.112 0.083 0.886
0.112 0.417 0.386
0.154 0.157 0.078
0.154 0.343 0.578
0.203 0.677 0.511
0.203 0.823 0.011
0.797 0.177 0.989
0.797 0.323 0.489
0.846 0.657 0.422
0.846 0.843 0.922
0.888 0.583 0.614
0.888 0.917 0.114
0.246 0.094 0.726
0.246 0.406 0.226
0.500 0.000 0.500
0.500 0.500 0.000
0.754 0.594 0.774
0.754 0.906 0.274
```

Computed properties:
For the electronic total energy, the calculation gives -55.4 eV for the cell shown. The space group is P2_1/c.


The following is a PBE calculation of an optimized crystal structure of MnWAu2, from the Alexandria database.

```
MnWAu2
1.0
2.886 0.000 0.000
0.000 3.591 0.000
0.000 0.000 6.288
Mn W Au
1 1 2
Direct
0.000 0.000 0.000
0.500 0.500 0.212
0.000 0.000 0.477
0.500 0.500 0.757
```

Computed properties:
The distance to the lowest polymorph of the same formula is 0.077 eV per atom. The energy of formation from the pure elements is 0.269 eV per atom. For the electronic total energy, the calculation gives -27.6 eV for the cell shown. The space group is Pmm2.


The following is a PBE calculation of an optimized crystal structure of CsTlPdF6, from the Alexandria database.

```
CsTlPdF6
1.0
-4.079 4.110 5.313
4.079 -4.110 5.313
4.079 4.110 -5.313
Cs Tl Pd F
2 2 2 12
Direct
0.402 0.152 0.250
0.598 0.848 0.750
0.000 0.000 0.500
0.000 0.500 0.000
0.000 0.500 0.500
0.500 0.500 0.000
0.105 0.855 0.250
0.155 0.459 0.353
0.155 0.802 0.696
0.215 0.465 0.750
0.394 0.198 0.853
0.394 0.541 0.196
0.606 0.459 0.804
0.606 0.802 0.147
0.785 0.535 0.250
0.845 0.198 0.304
0.845 0.541 0.647
0.895 0.145 0.750
```

Computed properties:
For the electronic total energy, the calculation gives -72.5 eV for the cell shown. The space group is Imma. The calculation puts the uncorrected formation energy at -1.844 eV/atom.


The following is a PBE calculation of an optimized crystal structure of AcPmP, from the Alexandria database.

```
AcPmP
1.0
3.718 0.000 0.000
0.000 3.718 0.000
0.000 0.000 13.365
Ac Pm P
2 2 2
Direct
0.000 0.000 0.000
0.500 0.500 0.500
0.000 0.000 0.750
0.500 0.500 0.250
0.000 0.000 0.361
0.500 0.500 0.861
```

Computed properties:
The distance to the lowest polymorph of the same formula is 0.185 eV per atom. The energy of formation from the pure elements is -0.700 eV per atom. For the electronic total energy, the calculation gives -32.7 eV for the cell shown. The space group is I4mm.


Number 1: total magnetic moment 0.24 μB/atom. Number 2: total magnetic moment 0.00 μB/atom. Number 3: total magnetic moment 0.00 μB/atom. Number 4: total magnetic moment 0.00 μB/atom. Number 5: total magnetic moment 0.00 μB/atom. Number 6: total magnetic moment 0.66 μB/atom. Number 7: total magnetic moment 0.00 μB/atom. Number 8: total magnetic moment 0.00 μB/atom.